A relaxed structure of BeSi2Rh. Source: the Alexandria database, functional PBE.

Structure (POSCAR):
```
BeSi2Rh
1.0
-0.182 -3.477 -1.036
3.459 0.192 -1.249
1.253 -1.052 3.309
Be Rh Si
1 1 2
Cartesian
0.536 -2.264 1.137 Be
2.356 -0.430 1.030 Rh
0.000 0.000 0.000 Si
1.639 -1.643 -1.143 Si
```

Summary:
Formation energy (no corrections), eV per atom: -0.0590
Uncorrected energy, Ry/atom: -0.407
Space-group type: Pmmm, No. 47

=====

A relaxed structure of BeSi2Rh. Source: the Alexandria database, functional PBE.

Structure (POSCAR):
```
BeSi2Rh
1.0
4.486 -0.006 0.000
1.484 4.233 0.000
-2.985 -2.114 2.597
Be Rh Si
1 1 2
Cartesian
2.985 2.114 0.000 Be
2.243 -0.003 1.298 Rh
0.742 2.116 1.298 Si
0.000 0.000 0.000 Si
```

Summary:
Formation energy (no corrections), eV per atom: -0.1117
Uncorrected energy, Ry/atom: -0.411
Space-group type: I-4m2, No. 119

=====

A relaxed structure of Be4SiRh5. Source: the Alexandria database, functional PBE.

Structure (POSCAR):
```
Be4SiRh5
1.0
-1.175 -2.278 1.208
2.494 -0.669 1.166
-3.226 7.648 11.284
Rh Be Si
5 4 1
Cartesian
-0.319 0.846 4.609 Rh
-2.236 5.390 11.313 Rh
-0.954 2.351 6.829 Rh
0.328 -0.688 2.345 Rh
-1.588 3.856 9.049 Rh
-1.297 3.076 4.538 Be
-2.531 5.999 8.852 Be
-1.929 4.573 6.746 Be
-0.695 1.649 2.432 Be
0.000 0.000 0.000 Si
```

Summary:
Formation energy (no corrections), eV per atom: -0.6944
Uncorrected energy, Ry/atom: -0.471
Space-group type: P4/mmm, No. 123

=====

A relaxed structure of BeSi2Rh. Source: the Alexandria database, functional PBE.

Structure (POSCAR):
```
BeSi2Rh
1.0
-0.629 3.074 -0.300
-2.675 -0.389 1.623
2.447 0.915 4.253
Si Rh Be
2 1 1
Cartesian
0.036 0.013 0.062 Si
1.188 0.444 2.065 Si
0.183 2.029 3.851 Rh
-1.040 1.571 1.725 Be
```

Summary:
Formation energy (no corrections), eV per atom: -0.1019
Uncorrected energy, Ry/atom: -0.410
Space-group type: P4/mmm, No. 123